# Li2MnPb, relaxed, DFT PBE-GGA
# - Formation energy from the elements: 12 kJ per mole of atoms
data_Li2MnPb
_chemical_formula_sum 'Li2 Mn1 Pb1'
_symmetry_space_group_name_H-M 'P 1'
_symmetry_Int_Tables_number 1
_symmetry_space_group_name_Hall 'P 1'
_cell_length_a 3.0857
_cell_length_b 4.2881
_cell_length_c 5.8311
_cell_angle_alpha 90.00
_cell_angle_beta 90.00
_cell_angle_gamma 90.00
loop_
_atom_site_label
_atom_site_fract_x
_atom_site_fract_y
_atom_site_fract_z
Li1 0.0000 0.0000 0.2412
Li2 0.0000 0.0000 0.7588
Mn1 0.5000 0.5000 0.0000
Pb1 0.5000 0.5000 0.5000

=====

# LiMnPb2, relaxed, DFT PBE-GGA
# - Formation energy from the elements: 29 kJ per mole of atoms
data_LiMnPb2
_chemical_formula_sum 'Li4 Mn4 Pb8'
_symmetry_space_group_name_H-M 'P 1'
_symmetry_Int_Tables_number 1
_symmetry_space_group_name_Hall 'P 1'
_cell_length_a 4.6480
_cell_length_b 4.6480
_cell_length_c 18.7695
_cell_angle_alpha 90.00
_cell_angle_beta 90.00
_cell_angle_gamma 90.00
loop_
_atom_site_label
_atom_site_fract_x
_atom_site_fract_y
_atom_site_fract_z
Li1 0.0000 0.0000 0.0000
Li2 0.0000 0.5000 0.2500
Li3 0.5000 0.0000 0.7500
Li4 0.5000 0.5000 0.5000
Mn1 0.0000 0.0000 0.5000
Mn2 0.0000 0.5000 0.7500
Mn3 0.5000 0.0000 0.2500
Mn4 0.5000 0.5000 0.0000
Pb1 0.2480 0.2500 0.6250
Pb2 0.2500 0.7480 0.8750
Pb3 0.2500 0.7520 0.3750
Pb4 0.2520 0.2500 0.1250
Pb5 0.7480 0.7500 0.1250
Pb6 0.7500 0.2480 0.3750
Pb7 0.7500 0.2520 0.8750
Pb8 0.7520 0.7500 0.6250

=====

# LiMnPb2, relaxed, DFT PBE-GGA
# - Formation energy from the elements: 11 kJ per mole of atoms
data_LiMnPb2
_chemical_formula_sum 'Li2 Mn2 Pb4'
_symmetry_space_group_name_H-M 'P 1'
_symmetry_Int_Tables_number 1
_symmetry_space_group_name_Hall 'P 1'
_cell_length_a 7.2184
_cell_length_b 7.2309
_cell_length_c 3.4228
_cell_angle_alpha 90.00
_cell_angle_beta 90.00
_cell_angle_gamma 90.00
loop_
_atom_site_label
_atom_site_fract_x
_atom_site_fract_y
_atom_site_fract_z
Li1 0.0000 0.0000 0.0000
Li2 0.5000 0.5000 0.0000
Mn1 0.0000 0.5000 0.0000
Mn2 0.5000 0.0000 0.0000
Pb1 0.2500 0.2500 0.5000
Pb2 0.2500 0.7500 0.5000
Pb3 0.7500 0.2500 0.5000
Pb4 0.7500 0.7500 0.5000

=====

# Li2MnPb, relaxed, DFT PBE-GGA
# - Formation energy from the elements: 5 kJ per mole of atoms
data_Li2MnPb
_chemical_formula_sum 'Li4 Mn2 Pb2'
_symmetry_space_group_name_H-M 'P 1'
_symmetry_Int_Tables_number 1
_symmetry_space_group_name_Hall 'P 1'
_cell_length_a 4.2112
_cell_length_b 4.2112
_cell_length_c 8.3575
_cell_angle_alpha 90.00
_cell_angle_beta 90.00
_cell_angle_gamma 90.00
loop_
_atom_site_label
_atom_site_fract_x
_atom_site_fract_y
_atom_site_fract_z
Li1 0.0000 0.5000 0.2500
Li2 0.0000 0.5000 0.7500
Li3 0.5000 0.0000 0.2500
Li4 0.5000 0.0000 0.7500
Mn1 0.0000 0.0000 0.0000
Mn2 0.5000 0.5000 0.5000
Pb1 0.0000 0.0000 0.5000
Pb2 0.5000 0.5000 0.0000

=====

# LiMnPb2, relaxed, DFT PBE-GGA
# - Formation energy from the elements: 12 kJ per mole of atoms
data_LiMnPb2
_chemical_formula_sum 'Li2 Mn2 Pb4'
_symmetry_space_group_name_H-M 'P 1'
_symmetry_Int_Tables_number 1
_symmetry_space_group_name_Hall 'P 1'
_cell_length_a 11.0853
_cell_length_b 3.3635
_cell_length_c 4.9846
_cell_angle_alpha 90.00
_cell_angle_beta 105.26
_cell_angle_gamma 90.00
loop_
_atom_site_label
_atom_site_fract_x
_atom_site_fract_y
_atom_site_fract_z
Li1 0.0000 0.0000 0.0000
Li2 0.5000 0.5000 0.0000
Mn1 0.2503 0.5000 0.3944
Mn2 0.7503 0.0000 0.3944
Pb1 0.2495 0.0000 0.8931
Pb2 0.4903 0.0000 0.4837
Pb3 0.7495 0.5000 0.8931
Pb4 0.9903 0.5000 0.4837

=====

# LiMnPb3, relaxed, DFT PBE-GGA
# - Formation energy from the elements: 47 kJ per mole of atoms
# - Energy relative to the lowest polymorph listed for this composition: 247 meV per atom
data_LiMnPb3
_chemical_formula_sum 'Li1 Mn1 Pb3'
_symmetry_space_group_name_H-M 'P 1'
_symmetry_Int_Tables_number 1
_symmetry_space_group_name_Hall 'P 1'
_cell_length_a 5.1361
_cell_length_b 5.1361
_cell_length_c 5.1361
_cell_angle_alpha 90.00
_cell_angle_beta 90.00
_cell_angle_gamma 90.00
loop_
_atom_site_label
_atom_site_fract_x
_atom_site_fract_y
_atom_site_fract_z
Li1 0.0000 0.0000 0.0000
Mn1 0.5000 0.5000 0.5000
Pb1 0.0000 0.0000 0.5000
Pb2 0.0000 0.5000 0.0000
Pb3 0.5000 0.0000 0.0000

=====

# LiMnPb2, relaxed, DFT PBE-GGA
# - Formation energy from the elements: 9 kJ per mole of atoms
data_LiMnPb2
_chemical_formula_sum 'Li1 Mn1 Pb2'
_symmetry_space_group_name_H-M 'P 1'
_symmetry_Int_Tables_number 1
_symmetry_space_group_name_Hall 'P 1'
_cell_length_a 3.4057
_cell_length_b 3.7226
_cell_length_c 7.1062
_cell_angle_alpha 90.00
_cell_angle_beta 91.10
_cell_angle_gamma 90.00
loop_
_atom_site_label
_atom_site_fract_x
_atom_site_fract_y
_atom_site_fract_z
Li1 0.0000 0.0000 0.0000
Mn1 0.0000 0.0000 0.5000
Pb1 0.4998 0.5000 0.2593
Pb2 0.5002 0.5000 0.7407

=====

# Li2MnPb, relaxed, DFT PBE-GGA
# - Formation energy from the elements: 13 kJ per mole of atoms
data_Li2MnPb
_chemical_formula_sum 'Li2 Mn1 Pb1'
_symmetry_space_group_name_H-M 'P 1'
_symmetry_Int_Tables_number 1
_symmetry_space_group_name_Hall 'P 1'
_cell_length_a 3.4645
_cell_length_b 3.4645
_cell_length_c 6.4772
_cell_angle_alpha 90.00
_cell_angle_beta 90.00
_cell_angle_gamma 90.00
loop_
_atom_site_label
_atom_site_fract_x
_atom_site_fract_y
_atom_site_fract_z
Li1 0.0000 0.0000 0.0000
Li2 0.5000 0.5000 0.2395
Mn1 0.0000 0.0000 0.4687
Pb1 0.5000 0.5000 0.7317

=====

# LiMn3Pb, relaxed, DFT PBE-GGA
# - Formation energy from the elements: 112 kJ per mole of atoms
# - Energy relative to the lowest polymorph listed for this composition: 315 meV per atom
data_LiMn3Pb
_chemical_formula_sum 'Li1 Mn3 Pb1'
_symmetry_space_group_name_H-M 'P 1'
_symmetry_Int_Tables_number 1
_symmetry_space_group_name_Hall 'P 1'
_cell_length_a 5.2048
_cell_length_b 5.2048
_cell_length_c 5.2048
_cell_angle_alpha 90.00
_cell_angle_beta 90.00
_cell_angle_gamma 90.00
loop_
_atom_site_label
_atom_site_fract_x
_atom_site_fract_y
_atom_site_fract_z
Li1 0.0000 0.0000 0.0000
Mn1 0.0000 0.5000 0.5000
Mn2 0.5000 0.0000 0.5000
Mn3 0.5000 0.5000 0.0000
Pb1 0.5000 0.5000 0.5000

=====

# LiMnPb2, relaxed, DFT PBE-GGA
# - Formation energy from the elements: 13 kJ per mole of atoms
data_LiMnPb2
_chemical_formula_sum 'Li2 Mn2 Pb4'
_symmetry_space_group_name_H-M 'P 1'
_symmetry_Int_Tables_number 1
_symmetry_space_group_name_Hall 'P 1'
_cell_length_a 9.0715
_cell_length_b 3.4412
_cell_length_c 6.0154
_cell_angle_alpha 90.00
_cell_angle_beta 101.35
_cell_angle_gamma 90.00
loop_
_atom_site_label
_atom_site_fract_x
_atom_site_fract_y
_atom_site_fract_z
Li1 0.0000 0.0000 0.0000
Li2 0.5000 0.5000 0.0000
Mn1 0.0000 0.5000 0.5000
Mn2 0.5000 0.0000 0.5000
Pb1 0.2463 0.0000 0.7421
Pb2 0.2537 0.5000 0.2579
Pb3 0.7463 0.5000 0.7421
Pb4 0.7537 0.0000 0.2579

=====

# Li2MnPb, relaxed, DFT PBE-GGA
# - Formation energy from the elements: 23 kJ per mole of atoms
data_Li2MnPb
_chemical_formula_sum 'Li6 Mn3 Pb3'
_symmetry_space_group_name_H-M 'P 1'
_symmetry_Int_Tables_number 1
_symmetry_space_group_name_Hall 'P 1'
_cell_length_a 3.1911
_cell_length_b 3.1911
_cell_length_c 28.4381
_cell_angle_alpha 90.00
_cell_angle_beta 90.00
_cell_angle_gamma 120.00
loop_
_atom_site_label
_atom_site_fract_x
_atom_site_fract_y
_atom_site_fract_z
Li1 0.0000 0.0000 0.2470
Li2 0.0000 0.0000 0.7530
Li3 0.3333 0.6667 0.4196
Li4 0.3333 0.6667 0.9137
Li5 0.6667 0.3333 0.0863
Li6 0.6667 0.3333 0.5804
Mn1 0.0000 0.0000 0.5000
Mn2 0.3333 0.6667 0.1667
Mn3 0.6667 0.3333 0.8333
Pb1 0.0000 0.0000 0.0000
Pb2 0.3333 0.6667 0.6667
Pb3 0.6667 0.3333 0.3333

=====

# LiMnPb2, relaxed, DFT PBE-GGA
# - Formation energy from the elements: 13 kJ per mole of atoms
data_LiMnPb2
_chemical_formula_sum 'Li3 Mn3 Pb6'
_symmetry_space_group_name_H-M 'P 1'
_symmetry_Int_Tables_number 1
_symmetry_space_group_name_Hall 'P 1'
_cell_length_a 3.4029
_cell_length_b 3.4029
_cell_length_c 27.3372
_cell_angle_alpha 90.00
_cell_angle_beta 90.00
_cell_angle_gamma 120.00
loop_
_atom_site_label
_atom_site_fract_x
_atom_site_fract_y
_atom_site_fract_z
Li1 0.0000 0.0000 0.0000
Li2 0.3333 0.6667 0.6667
Li3 0.6667 0.3333 0.3333
Mn1 0.0000 0.0000 0.5000
Mn2 0.3333 0.6667 0.1667
Mn3 0.6667 0.3333 0.8333
Pb1 0.0000 0.0000 0.2477
Pb2 0.0000 0.0000 0.7523
Pb3 0.3333 0.6667 0.4190
Pb4 0.3333 0.6667 0.9144
Pb5 0.6667 0.3333 0.0856
Pb6 0.6667 0.3333 0.5810

=====

# LiMnPb2, relaxed, DFT PBE-GGA
# - Formation energy from the elements: 18 kJ per mole of atoms
data_LiMnPb2
_chemical_formula_sum 'Li1 Mn1 Pb2'
_symmetry_space_group_name_H-M 'P 1'
_symmetry_Int_Tables_number 1
_symmetry_space_group_name_Hall 'P 1'
_cell_length_a 3.4636
_cell_length_b 4.4133
_cell_length_c 5.9173
_cell_angle_alpha 90.00
_cell_angle_beta 90.00
_cell_angle_gamma 90.00
loop_
_atom_site_label
_atom_site_fract_x
_atom_site_fract_y
_atom_site_fract_z
Li1 0.0000 0.0000 0.0000
Mn1 0.5000 0.5000 0.2932
Pb1 0.0000 0.0000 0.4670
Pb2 0.5000 0.5000 0.8081

=====

# LiMnPb2, relaxed, DFT PBE-GGA
# - Formation energy from the elements: 14 kJ per mole of atoms
data_LiMnPb2
_chemical_formula_sum 'Li2 Mn2 Pb4'
_symmetry_space_group_name_H-M 'P 1'
_symmetry_Int_Tables_number 1
_symmetry_space_group_name_Hall 'P 1'
_cell_length_a 4.1738
_cell_length_b 4.1738
_cell_length_c 10.2466
_cell_angle_alpha 90.00
_cell_angle_beta 90.00
_cell_angle_gamma 90.00
loop_
_atom_site_label
_atom_site_fract_x
_atom_site_fract_y
_atom_site_fract_z
Li1 0.0000 0.0000 0.0000
Li2 0.5000 0.5000 0.5000
Mn1 0.0000 0.5000 0.7500
Mn2 0.5000 0.0000 0.2500
Pb1 0.0000 0.0000 0.5000
Pb2 0.0000 0.5000 0.2500
Pb3 0.5000 0.0000 0.7500
Pb4 0.5000 0.5000 0.0000

=====

# Li2MnPb, relaxed, DFT PBE-GGA
# - Formation energy from the elements: 13 kJ per mole of atoms
data_Li2MnPb
_chemical_formula_sum 'Li2 Mn1 Pb1'
_symmetry_space_group_name_H-M 'P 1'
_symmetry_Int_Tables_number 1
_symmetry_space_group_name_Hall 'P 1'
_cell_length_a 3.0894
_cell_length_b 4.4740
_cell_length_c 5.7250
_cell_angle_alpha 90.00
_cell_angle_beta 104.03
_cell_angle_gamma 90.00
loop_
_atom_site_label
_atom_site_fract_x
_atom_site_fract_y
_atom_site_fract_z
Li1 0.0000 0.0000 0.0000
Li2 0.1145 0.5000 0.7604
Mn1 0.6904 0.5000 0.2408
Pb1 0.3860 0.0000 0.5052

=====

# Li2MnPb, relaxed, DFT PBE-GGA
# - Formation energy from the elements: 12 kJ per mole of atoms
data_Li2MnPb
_chemical_formula_sum 'Li2 Mn1 Pb1'
_symmetry_space_group_name_H-M 'P 1'
_symmetry_Int_Tables_number 1
_symmetry_space_group_name_Hall 'P 1'
_cell_length_a 3.4970
_cell_length_b 3.4970
_cell_length_c 6.1812
_cell_angle_alpha 90.00
_cell_angle_beta 90.00
_cell_angle_gamma 90.00
loop_
_atom_site_label
_atom_site_fract_x
_atom_site_fract_y
_atom_site_fract_z
Li1 0.0000 0.0000 0.2367
Li2 0.0000 0.0000 0.7633
Mn1 0.5000 0.5000 0.0000
Pb1 0.5000 0.5000 0.5000

=====

# Li2MnPb, relaxed, DFT PBE-GGA
# - Formation energy from the elements: 3 kJ per mole of atoms
data_Li2MnPb
_chemical_formula_sum 'Li2 Mn1 Pb1'
_symmetry_space_group_name_H-M 'P 1'
_symmetry_Int_Tables_number 1
_symmetry_space_group_name_Hall 'P 1'
_cell_length_a 4.0016
_cell_length_b 4.0801
_cell_length_c 4.4822
_cell_angle_alpha 90.00
_cell_angle_beta 90.00
_cell_angle_gamma 90.00
loop_
_atom_site_label
_atom_site_fract_x
_atom_site_fract_y
_atom_site_fract_z
Li1 0.0000 0.0000 0.0000
Li2 0.5000 0.5000 0.0000
Mn1 0.0000 0.5000 0.5000
Pb1 0.5000 0.0000 0.5000

=====

# Li2MnPb, relaxed, DFT PBE-GGA
# - Formation energy from the elements: 14 kJ per mole of atoms
data_Li2MnPb
_chemical_formula_sum 'Li4 Mn2 Pb2'
_symmetry_space_group_name_H-M 'P 1'
_symmetry_Int_Tables_number 1
_symmetry_space_group_name_Hall 'P 1'
_cell_length_a 5.7716
_cell_length_b 8.1811
_cell_length_c 3.1979
_cell_angle_alpha 90.00
_cell_angle_beta 95.96
_cell_angle_gamma 90.00
loop_
_atom_site_label
_atom_site_fract_x
_atom_site_fract_y
_atom_site_fract_z
Li1 0.2500 0.2500 0.0000
Li2 0.2500 0.7500 0.0000
Li3 0.7500 0.2500 0.0000
Li4 0.7500 0.7500 0.0000
Mn1 0.0000 0.0000 0.5000
Mn2 0.5000 0.5000 0.5000
Pb1 0.0000 0.5000 0.5000
Pb2 0.5000 0.0000 0.5000

=====

# LiMnPb3, relaxed, DFT PBE-GGA
# - Formation energy from the elements: 23 kJ per mole of atoms
# - Energy relative to the lowest polymorph listed for this composition: 0 meV per atom
data_LiMnPb3
_chemical_formula_sum 'Li1 Mn1 Pb3'
_symmetry_space_group_name_H-M 'P 1'
_symmetry_Int_Tables_number 1
_symmetry_space_group_name_Hall 'P 1'
_cell_length_a 5.2731
_cell_length_b 5.2731
_cell_length_c 5.2731
_cell_angle_alpha 90.00
_cell_angle_beta 90.00
_cell_angle_gamma 90.00
loop_
_atom_site_label
_atom_site_fract_x
_atom_site_fract_y
_atom_site_fract_z
Li1 0.0000 0.0000 0.0000
Mn1 0.5000 0.5000 0.5000
Pb1 0.0000 0.5000 0.5000
Pb2 0.5000 0.0000 0.5000
Pb3 0.5000 0.5000 0.0000

=====

# Li4MnPb, relaxed, DFT PBE-GGA
# - Formation energy from the elements: 10 kJ per mole of atoms
data_Li4MnPb
_chemical_formula_sum 'Li4 Mn1 Pb1'
_symmetry_space_group_name_H-M 'P 1'
_symmetry_Int_Tables_number 1
_symmetry_space_group_name_Hall 'P 1'
_cell_length_a 5.2981
_cell_length_b 5.2981
_cell_length_c 5.2981
_cell_angle_alpha 60.00
_cell_angle_beta 60.00
_cell_angle_gamma 60.00
loop_
_atom_site_label
_atom_site_fract_x
_atom_site_fract_y
_atom_site_fract_z
Li1 0.1246 0.1246 0.1246
Li2 0.1246 0.1246 0.6261
Li3 0.1246 0.6261 0.1246
Li4 0.6261 0.1246 0.1246
Mn1 0.7500 0.7500 0.7500
Pb1 0.5000 0.5000 0.5000